Entry 1:
This record from Alexandria describes a relaxed ZnCrW2 crystal. The functional is PBE.

Results
- E_tot (eV/atom) = -8.77
- ρ (g cm⁻³) = 13.2

a = 9.291 Å, b = 9.291 Å, c = 9.291 Å
α = 17.16°, β = 17.16°, γ = 17.16°
Positions (direct):
1 Zn 0.000 0.000 0.000
2 Cr 0.746 0.746 0.746
3 W 0.248 0.248 0.248
4 W 0.492 0.492 0.492

---

Entry 2:
This record from Alexandria describes a relaxed ScZnBr2 crystal. The functional is PBE.

Results
- E_tot (eV/atom) = -3.54
- energy above the lowest structure with this stoichiometry (meV per atom) = 101
- ρ (g cm⁻³) = 3.9
- uncorrected formation energy (meV per atom) = -804

a = 3.942 Å, b = 3.663 Å, c = 8.292 Å
α = 90.00°, β = 103.45°, γ = 90.00°
Positions (direct):
1 Sc 0.000 0.000 0.000
2 Zn 0.427 0.500 0.850
3 Br 0.117 0.500 0.239
4 Br 0.838 0.000 0.670

---

Entry 3:
This record from Alexandria describes a relaxed Hf6PdC crystal. The functional is PBE.

Results
- E_tot (eV/atom) = -9.42
- ρ (g cm⁻³) = 12.1

a = 5.735 Å, b = 5.735 Å, c = 6.022 Å
α = 114.29°, β = 90.10°, γ = 113.29°
Positions (direct):
1 Hf 0.016 0.287 0.237
2 Hf 0.216 0.287 0.759
3 Hf 0.364 0.923 0.226
4 Hf 0.636 0.077 0.774
5 Hf 0.784 0.713 0.241
6 Hf 0.984 0.713 0.763
7 Pd 0.500 0.500 0.500
8 C 0.000 0.500 0.000

---

Entry 4:
This record from Alexandria describes a relaxed Ca2AlSe crystal. The functional is PBE.

Results
- E_tot (eV/atom) = -3.36
- energy above the lowest structure with this stoichiometry (meV per atom) = 327
- ρ (g cm⁻³) = 3.0
- uncorrected formation energy (meV per atom) = -556

a = 5.287 Å, b = 5.287 Å, c = 5.287 Å
α = 60.00°, β = 60.00°, γ = 60.00°
Positions (direct):
1 Ca 0.250 0.250 0.250
2 Ca 0.750 0.750 0.750
3 Al 0.000 0.000 0.000
4 Se 0.500 0.500 0.500

---

Entry 5:
This record from Alexandria describes a relaxed BaBeOs crystal. The functional is PBE.

Results
- E_tot (eV/atom) = -4.42
- energy above the lowest structure with this stoichiometry (meV per atom) = 785
- ρ (g cm⁻³) = 8.1

a = 4.597 Å, b = 4.597 Å, c = 4.597 Å
α = 60.00°, β = 60.00°, γ = 60.00°
Positions (direct):
1 Ba 0.000 0.000 0.000
2 Be 0.500 0.500 0.500
3 Os 0.750 0.750 0.750

---

Entry 6:
This record from Alexandria describes a relaxed MgZrCr3 crystal. The functional is PBE.

Results
- E_tot (eV/atom) = -6.31
- energy above the lowest structure with this stoichiometry (meV per atom) = 0
- ρ (g cm⁻³) = 4.5

a = 4.630 Å, b = 4.630 Å, c = 4.630 Å
α = 90.00°, β = 90.00°, γ = 90.00°
Positions (direct):
1 Mg 0.000 0.000 0.000
2 Zr 0.500 0.500 0.500
3 Cr 0.000 0.000 0.500
4 Cr 0.000 0.500 0.000
5 Cr 0.500 0.000 0.000